*1*
The following is a DFT calculation (SCAN) of Mg2TeBr at its PBEsol-relaxed geometry.

The space group is C2/m (No. 12) and the conventional cell measures 7.657, 7.765 and 3.938 Å, with angles of 90.00, 115.79 and 90.00 degrees. The distinct sites, in fractional coordinates, are Mg at (0.250, 0.250, 0.000), Te at (0.000, 0.000, 0.500) and Br at (0.000, 0.500, 0.500).

The calculated volume comes out at 210.8 Å³ per cell.



*2*
The following is a DFT calculation (SCAN) of Mg2TeBr at its PBEsol-relaxed geometry.

The space group is P4/mmm (No. 123) and the conventional cell measures 4.198, 4.198 and 5.904 Å, with angles of 90.00, 90.00 and 90.00 degrees. The distinct sites, in fractional coordinates, are Mg at (0.000, 0.000, 0.000), Mg at (0.500, 0.500, 0.500), Te at (0.000, 0.000, 0.500) and Br at (0.500, 0.500, 0.000).

The calculated volume comes out at 104.0 Å³ per cell.



What are the relative energies? In meV per atom: *1* 170; *2* 0.



*1*
The following is a DFT calculation (SCAN) of MgTeBr2 at its PBEsol-relaxed geometry.

The space group is P4/mmm (No. 123) and the conventional cell measures 3.276, 3.276 and 10.614 Å, with angles of 90.00, 90.00 and 90.00 degrees. The distinct sites, in fractional coordinates, are Mg at (0.000, 0.000, 0.000), Te at (0.000, 0.000, 0.500) and Br at (0.500, 0.500, 0.154).

The calculated volume comes out at 113.9 Å³ per cell.



*2*
The following is a DFT calculation (SCAN) of MgTeBr2 at its PBEsol-relaxed geometry.

The space group is Pmmm (No. 47) and the conventional cell measures 3.623, 4.637 and 6.055 Å, with angles of 90.00, 90.00 and 90.00 degrees. The distinct sites, in fractional coordinates, are Mg at (0.000, 0.000, 0.000), Te at (0.500, 0.000, 0.500), Br at (0.000, 0.500, 0.500) and Br at (0.500, 0.500, 0.000).

The calculated volume comes out at 101.7 Å³ per cell.



What are the relative energies? In meV per atom: *1* 0; *2* 357.



*1*
The following is a DFT calculation (SCAN) of Mg2WBr at its PBEsol-relaxed geometry.

The space group is Imm2 (No. 44) and the conventional cell measures 3.034, 4.799 and 12.162 Å, with angles of 90.00, 90.00 and 90.00 degrees. The distinct sites, in fractional coordinates, are Mg at (0.000, 0.000, 0.000), Mg at (0.000, 0.500, 0.150), W at (0.000, 0.500, 0.692) and Br at (0.000, 0.000, 0.360).

The calculated volume comes out at 177.1 Å³ per cell.



*2*
The following is a DFT calculation (SCAN) of Mg2WBr at its PBEsol-relaxed geometry.

The space group is I-4m2 (No. 119) and the conventional cell measures 4.041, 4.041 and 9.173 Å, with angles of 90.00, 90.00 and 90.00 degrees. The distinct sites, in fractional coordinates, are Mg at (0.000, 0.000, 0.000), Mg at (0.000, 0.500, 0.250), W at (0.000, 0.000, 0.500) and Br at (0.000, 0.500, 0.750).

The calculated volume comes out at 149.8 Å³ per cell.



What are the relative energies? In meV per atom: *1* 0; *2* 453.



*1*
The following is a DFT calculation (SCAN) of Y2MgBr at its PBEsol-relaxed geometry.

The space group is P4/mmm (No. 123) and the conventional cell measures 3.413, 3.413 and 8.590 Å, with angles of 90.00, 90.00 and 90.00 degrees. The distinct sites, in fractional coordinates, are Y at (0.000, 0.000, 0.237), Mg at (0.500, 0.500, 0.500) and Br at (0.500, 0.500, 0.000).

The calculated volume comes out at 100.1 Å³ per cell.



*2*
The following is a DFT calculation (SCAN) of Y2MgBr at its PBEsol-relaxed geometry.

The space group is Immm (No. 71) and the conventional cell measures 3.493, 5.933 and 10.686 Å, with angles of 90.00, 90.00 and 90.00 degrees. The distinct sites, in fractional coordinates, are Y at (0.000, 0.000, 0.220), Mg at (0.000, 0.500, 0.000) and Br at (0.000, 0.500, 0.500).

The calculated volume comes out at 221.5 Å³ per cell.



What are the relative energies? In meV per atom: *1* 0; *2* 126.